No. 1
This record from OQMD describes a relaxed structure of Li2Zn2In2NiPd. The functional is PBE-GGA.

## Properties
Volume: 122 Å³ per cell
Crystal system: tetragonal
E_tot: -3.1718 eV per atom

abc: 4.408 4.408 6.284
angles: 90.00 90.00 90.00
Element x y z (fractional)
Pd 0.500 0.500 0.500
In 0.500 0.000 0.764
Li 0.000 0.000 0.500
Zn 0.500 0.000 0.240
Ni 0.000 0.000 0.000
Li 0.500 0.500 0.000
Zn 0.000 0.500 0.760
In 0.000 0.500 0.236

No. 2
This record from OQMD describes a relaxed structure of Li4In2NiPt. The functional is PBE-GGA.

## Properties
Volume: 121 Å³ per cell
Crystal system: tetragonal
E_tot: -3.4819 eV per atom

abc: 4.407 4.407 6.246
angles: 90.00 90.00 90.00
Element x y z (fractional)
Li 0.500 0.500 0.000
Pt 0.500 0.500 0.500
Li 0.000 0.000 0.500
Li 0.000 0.500 0.247
In 0.500 0.000 0.236
Li 0.500 0.000 0.753
Ni 0.000 0.000 0.000
In 0.000 0.500 0.764

No. 3
This record from OQMD describes a relaxed structure of Li2Sc2In2NiPt. The functional is PBE-GGA.

## Properties
Volume: 135 Å³ per cell
Crystal system: tetragonal
E_tot: -4.7920 eV per atom

abc: 4.564 4.564 6.478
angles: 90.00 90.00 90.00
Element x y z (fractional)
Ni 0.500 0.500 0.000
Pt 0.000 0.000 0.500
In 0.000 0.500 0.236
Li 0.000 0.000 0.000
Li 0.500 0.500 0.500
Sc 0.000 0.500 0.753
In 0.500 0.000 0.764
Sc 0.500 0.000 0.247

The calculation returns the following total magnetic moment values, one per record and in order: 0.0 0.0 0.0 μB per formula unit.